Material: Pm3Al3Rh
Method: DFT, PBE
State: optimized geometry

The structure in POSCAR format:
```
Pm3Al3Rh
1.0
3.878 0.000 0.584
1.884 5.835 0.659
-0.276 0.471 14.996
Pm Al Rh
6 6 2
direct
0.481 0.650 0.388 Pm
0.260 0.240 0.240 Pm
0.519 0.350 0.612 Pm
0.376 0.326 0.921 Pm
0.624 0.674 0.079 Pm
0.740 0.760 0.760 Pm
0.179 0.178 0.464 Al
0.023 0.182 0.771 Al
0.095 0.885 0.925 Al
0.905 0.115 0.075 Al
0.977 0.818 0.229 Al
0.821 0.822 0.536 Al
0.217 0.941 0.624 Rh
0.783 0.059 0.376 Rh
```

Size of the total moment: 0.00 μB per formula unit
ΔH_f (0 K): -0.54 eV per atom
E: -5.2342 eV per atom